[1]
DFT (PBE) results for a relaxed KZr2IO8 crystal.

a b c (Å): 8.081 6.468 7.238
angles (deg): 90.00 102.23 90.00
Space group C2/m (No. 12)
Asymmetric unit:
K (0.000, 0.000, 0.000) (multiplicity 2)
Zr (0.048, 0.500, 0.224) (multiplicity 4)
I (0.000, 0.000, 0.500) (multiplicity 2)
O (0.008, 0.208, 0.690) (multiplicity 8)
O (0.160, 0.500, 0.007) (multiplicity 4)
O (0.235, 0.000, 0.547) (multiplicity 4)

Summary:
- N(E_F): 0.0 states/eV/f.u.
- Formation energy (no corrections): -22.5 eV per formula unit
- DFT total energy: -6.824 eV/atom

[2]
DFT (PBE) results for a relaxed K2ZrIO6 crystal.

a b c (Å): 8.262 8.262 8.262
angles (deg): 90.00 90.00 90.00
Space group Fm-3m (No. 225)
Asymmetric unit:
K (0.250, 0.250, 0.250) (multiplicity 8)
Zr (0.000, 0.000, 0.000) (multiplicity 4)
I (0.000, 0.000, 0.500) (multiplicity 4)
O (0.000, 0.000, 0.256) (multiplicity 24)

Summary:
- N(E_F): 2.5 states/eV/f.u.
- Formation energy (no corrections): -16.5 eV per formula unit
- DFT total energy: -5.858 eV/atom